An optimized crystal structure of Tb3Pm7Er, computed with PBE.

Properties
VASP energy	-0.164	Ha/atom
DOS at the Fermi energy	1.41	states/eV/atom
total moment	0.012	μB/f.u.

Unit cell a=8.5378 b=8.5378 c=5.8943 alpha=110.17 beta=110.17 gamma=82.89
Positions (direct):
Tb 0.0000 0.0000 0.0000
Tb 0.2054 0.7946 0.5000
Tb 0.7946 0.2054 0.5000
Pm 0.0152 0.5975 0.8067
Pm 0.2099 0.2099 0.7081
Pm 0.4025 0.9848 0.1933
Pm 0.5000 0.5000 0.5000
Pm 0.5975 0.0152 0.8067
Pm 0.7901 0.7901 0.2919
Pm 0.9848 0.4025 0.1933
Er 0.5000 0.5000 0.0000

An optimized crystal structure of K4Pa3SnO12, computed with PBE.

Properties
formation energy from raw total energies	-2.6879	eV per atom
VASP energy	-0.276	Ha/atom
DOS at the Fermi energy	1.04	states/eV/atom
total moment	0.678	μB/f.u.

Unit cell a=7.5017 b=7.5017 c=7.5017 alpha=109.47 beta=109.47 gamma=109.47
Positions (direct):
K 0.0000 0.0000 0.5000
K 0.0000 0.5000 0.0000
K 0.5000 0.0000 0.0000
K 0.5000 0.5000 0.5000
Pa 0.0000 0.5000 0.5000
Pa 0.5000 0.0000 0.5000
Pa 0.5000 0.5000 0.0000
Sn 0.0000 0.0000 0.0000
O 0.0000 0.2474 0.2474
O 0.0000 0.7526 0.7526
O 0.2474 0.0000 0.2474
O 0.2474 0.2474 0.0000
O 0.2500 0.5000 0.7500
O 0.2500 0.7500 0.5000
O 0.5000 0.2500 0.7500
O 0.5000 0.7500 0.2500
O 0.7500 0.2500 0.5000
O 0.7500 0.5000 0.2500
O 0.7526 0.0000 0.7526
O 0.7526 0.7526 0.0000

Among the records above, which one has the highest DOS at the Fermi energy?
Tb3Pm7Er

Which of these has the highest total moment?
K4Pa3SnO12

Copy entry 1 word for word.
An optimized crystal structure of Tb3Pm7Er, computed with PBE.

Properties
VASP energy	-0.164	Ha/atom
DOS at the Fermi energy	1.41	states/eV/atom
total moment	0.012	μB/f.u.

Unit cell a=8.5378 b=8.5378 c=5.8943 alpha=110.17 beta=110.17 gamma=82.89
Positions (direct):
Tb 0.0000 0.0000 0.0000
Tb 0.2054 0.7946 0.5000
Tb 0.7946 0.2054 0.5000
Pm 0.0152 0.5975 0.8067
Pm 0.2099 0.2099 0.7081
Pm 0.4025 0.9848 0.1933
Pm 0.5000 0.5000 0.5000
Pm 0.5975 0.0152 0.8067
Pm 0.7901 0.7901 0.2919
Pm 0.9848 0.4025 0.1933
Er 0.5000 0.5000 0.0000

Copy entry 1 word for word.
An optimized crystal structure of Tb3Pm7Er, computed with PBE.

Properties
VASP energy	-0.164	Ha/atom
DOS at the Fermi energy	1.41	states/eV/atom
total moment	0.012	μB/f.u.

Unit cell a=8.5378 b=8.5378 c=5.8943 alpha=110.17 beta=110.17 gamma=82.89
Positions (direct):
Tb 0.0000 0.0000 0.0000
Tb 0.2054 0.7946 0.5000
Tb 0.7946 0.2054 0.5000
Pm 0.0152 0.5975 0.8067
Pm 0.2099 0.2099 0.7081
Pm 0.4025 0.9848 0.1933
Pm 0.5000 0.5000 0.5000
Pm 0.5975 0.0152 0.8067
Pm 0.7901 0.7901 0.2919
Pm 0.9848 0.4025 0.1933
Er 0.5000 0.5000 0.0000